A | Entry from the Alexandria database: NdDy6Tm2 after structural relaxation (PBE).

a b c (Å): 3.5481 8.6716 9.3751
angles (deg): 90.09 100.85 90.03
Space group P-1 (No. 2)
Inequivalent atoms, fractional coordinates:
Nd: 0.0000 0.0000 0.0000 [1 per cell]
Dy: 0.1105 0.6648 0.2221 [2 per cell]
Dy: 0.2216 0.3347 0.4436 [2 per cell]
Dy: 0.3325 0.0005 0.6648 [2 per cell]
Tm: 0.4440 0.6643 0.8887 [2 per cell]



B | Entry from the Alexandria database: NdDy6Tm2 after structural relaxation (PBE).

a b c (Å): 12.8090 7.3970 6.0357
angles (deg): 90.00 90.01 90.00
Space group C2/m (No. 12)
Inequivalent atoms, fractional coordinates:
Nd: 0.0000 0.0000 0.0000 [2 per cell]
Dy: 0.0944 0.2818 0.2956 [8 per cell]
Dy: 0.1876 0.0000 0.7051 [4 per cell]
Tm: 0.1659 0.5000 0.7871 [4 per cell]



Sorted by energy, starting with the most stable: A, B.



A | Entry from the Alexandria database: Nd12DyTm6 after structural relaxation (PBE).

a b c (Å): 12.1193 12.1193 15.2892
angles (deg): 90.00 90.00 120.00
Space group R-3 (No. 148, hexagonal axes)
Inequivalent atoms, fractional coordinates:
Nd: 0.0013 0.1737 0.1918 [18 per cell]
Nd: 0.0479 0.1985 0.4161 [18 per cell]
Dy: 0.0000 0.0000 0.0000 [3 per cell]
Tm: 0.0170 0.5875 0.6878 [18 per cell]



B | Entry from the Alexandria database: Nd12DyTm6 after structural relaxation (PBE).

a b c (Å): 15.7365 15.7365 8.8588
angles (deg): 90.00 90.00 120.00
Space group R-3 (No. 148, hexagonal axes)
Inequivalent atoms, fractional coordinates:
Nd: 0.0354 0.2792 0.3366 [18 per cell]
Nd: 0.0710 0.5619 0.6662 [18 per cell]
Dy: 0.0000 0.0000 0.0000 [3 per cell]
Tm: 0.0168 0.1370 0.6653 [18 per cell]



Sorted by energy, starting with the most stable: B, A.



A | Entry from the Alexandria database: Nd7DyTm3 after structural relaxation (PBE).

a b c (Å): 12.7602 11.4037 5.8916
angles (deg): 90.00 117.45 90.00
Space group C2/m (No. 12)
Inequivalent atoms, fractional coordinates:
Nd: 0.0000 0.0000 0.0000 [2 per cell]
Nd: 0.1918 0.2888 0.6917 [8 per cell]
Nd: 0.2078 0.5000 0.2067 [4 per cell]
Dy: 0.0000 0.0000 0.5000 [2 per cell]
Tm: 0.0000 0.2955 0.0000 [4 per cell]
Tm: 0.0000 0.5000 0.5000 [2 per cell]



B | Entry from the Alexandria database: Nd7DyTm3 after structural relaxation (PBE).

a b c (Å): 19.2204 7.1891 12.5834
angles (deg): 90.00 116.28 90.00
Space group C2/c (No. 15)
Inequivalent atoms, fractional coordinates:
Nd: 0.0000 0.2145 0.2500 [4 per cell]
Nd: 0.1584 0.4939 0.7731 [8 per cell]
Nd: 0.1668 0.2469 0.0265 [8 per cell]
Nd: 0.1678 0.2478 0.5288 [8 per cell]
Dy: 0.0000 0.0000 0.0000 [4 per cell]
Tm: 0.0000 0.5000 0.0000 [4 per cell]
Tm: 0.1709 0.0032 0.2746 [8 per cell]



Sorted by energy, starting with the most stable: B, A.



A | Entry from the Alexandria database: NdDy7Tm3 after structural relaxation (PBE).

a b c (Å): 6.9214 5.5248 9.8281
angles (deg): 90.00 109.53 90.00
Space group P2/m (No. 10)
Inequivalent atoms, fractional coordinates:
Nd: 0.0000 0.0000 0.0000 [1 per cell]
Dy: 0.0000 0.0000 0.5000 [1 per cell]
Dy: 0.1472 0.5000 0.7901 [2 per cell]
Dy: 0.3268 0.5000 0.1434 [2 per cell]
Dy: 0.4252 0.0000 0.3323 [2 per cell]
Tm: 0.2762 0.5000 0.4963 [2 per cell]
Tm: 0.5000 0.0000 0.0000 [1 per cell]



B | Entry from the Alexandria database: NdDy7Tm3 after structural relaxation (PBE).

a b c (Å): 7.0383 7.0383 8.5460
angles (deg): 90.00 90.00 120.00
Space group P3m1 (No. 156)
Inequivalent atoms, fractional coordinates:
Nd: 0.0000 0.0000 0.0000 [1 per cell]
Dy: 0.0028 0.5014 0.0061 [3 per cell]
Dy: 0.3308 0.1654 0.6692 [3 per cell]
Dy: 0.3333 0.6667 0.6747 [1 per cell]
Tm: 0.1673 0.3346 0.3395 [3 per cell]



Sorted by energy, starting with the most stable: A, B.



A | Entry from the Alexandria database: NdDy4Tm6 after structural relaxation (PBE).

a b c (Å): 5.6006 9.6399 25.4861
angles (deg): 90.00 90.00 90.00
Space group Cmcm (No. 63)
Inequivalent atoms, fractional coordinates:
Nd: 0.0000 0.1703 0.2500 [4 per cell]
Dy: 0.0000 0.1650 0.5415 [8 per cell]
Dy: 0.0000 0.4944 0.6214 [8 per cell]
Tm: 0.0000 0.1621 0.6808 [8 per cell]
Tm: 0.0000 0.1711 0.1020 [8 per cell]
Tm: 0.0000 0.4960 0.7500 [4 per cell]
Tm: 0.0000 0.5000 0.0000 [4 per cell]



B | Entry from the Alexandria database: NdDy4Tm6 after structural relaxation (PBE).

a b c (Å): 7.6878 7.6878 12.7552
angles (deg): 90.00 90.00 90.00
Space group I-42m (No. 121)
Inequivalent atoms, fractional coordinates:
Nd: 0.0000 0.0000 0.0000 [2 per cell]
Dy: 0.1672 0.1672 0.4255 [8 per cell]
Tm: 0.0000 0.5000 0.0000 [4 per cell]
Tm: 0.2456 0.2456 0.6850 [8 per cell]



Sorted by energy, starting with the most stable: A, B.



A | Entry from the Alexandria database: Nd4DyTm7 after structural relaxation (PBE).

a b c (Å): 6.5550 6.8234 8.9870
angles (deg): 84.01 77.16 80.84
Space group P-1 (No. 2)
Inequivalent atoms, fractional coordinates:
Nd: 0.1403 0.3057 0.2885 [2 per cell]
Nd: 0.3312 0.8863 0.6915 [2 per cell]
Dy: 0.5000 0.5000 0.0000 [1 per cell]
Tm: 0.0117 0.2527 0.9531 [2 per cell]
Tm: 0.1809 0.7948 0.3536 [2 per cell]
Tm: 0.3146 0.3956 0.6204 [2 per cell]
Tm: 0.5000 0.0000 0.0000 [1 per cell]



B | Entry from the Alexandria database: Nd4DyTm7 after structural relaxation (PBE).

a b c (Å): 12.0702 5.8584 12.7605
angles (deg): 90.00 118.08 90.00
Space group C2/m (No. 12)
Inequivalent atoms, fractional coordinates:
Nd: 0.1397 0.0000 0.2775 [4 per cell]
Nd: 0.2171 0.5000 0.1620 [4 per cell]
Dy: 0.0000 0.5000 0.5000 [2 per cell]
Tm: 0.0000 0.0000 0.5000 [2 per cell]
Tm: 0.0710 0.5000 0.8084 [4 per cell]
Tm: 0.1320 0.0000 0.9930 [4 per cell]
Tm: 0.2117 0.5000 0.4236 [4 per cell]



Sorted by energy, starting with the most stable: A, B.



A | Entry from the Alexandria database: Nd4DyTm after structural relaxation (PBE).

a b c (Å): 12.2394 5.7229 12.2043
angles (deg): 90.00 108.95 90.00
Space group C2/c (No. 15)
Inequivalent atoms, fractional coordinates:
Nd: 0.0496 0.2487 0.4510 [8 per cell]
Nd: 0.2160 0.2628 0.2844 [8 per cell]
Dy: 0.0000 0.2478 0.7500 [4 per cell]
Tm: 0.2500 0.2500 0.0000 [4 per cell]



B | Entry from the Alexandria database: Nd4DyTm after structural relaxation (PBE).

a b c (Å): 11.7139 11.7215 3.4842
angles (deg): 90.00 90.00 90.00
Space group Cmmm (No. 65)
Inequivalent atoms, fractional coordinates:
Nd: 0.0000 0.2383 0.0000 [4 per cell]
Nd: 0.2402 0.5000 0.5000 [4 per cell]
Dy: 0.0000 0.5000 0.0000 [2 per cell]
Tm: 0.0000 0.0000 0.5000 [2 per cell]



Sorted by energy, starting with the most stable: A, B.



A | Entry from the Alexandria database: NdDy6Tm4 after structural relaxation (PBE).

a b c (Å): 7.4752 7.4752 13.3357
angles (deg): 90.00 90.00 90.00
Space group I-42m (No. 121)
Inequivalent atoms, fractional coordinates:
Nd: 0.0000 0.0000 0.0000 [2 per cell]
Dy: 0.0000 0.5000 0.0000 [4 per cell]
Dy: 0.2365 0.2365 0.1867 [8 per cell]
Tm: 0.1596 0.1596 0.4194 [8 per cell]



B | Entry from the Alexandria database: NdDy6Tm4 after structural relaxation (PBE).

a b c (Å): 5.6481 9.6254 25.5834
angles (deg): 90.00 90.00 90.00
Space group Cmcm (No. 63)
Inequivalent atoms, fractional coordinates:
Nd: 0.0000 0.1817 0.2500 [4 per cell]
Dy: 0.0000 0.1499 0.6803 [8 per cell]
Dy: 0.0000 0.1823 0.1010 [8 per cell]
Dy: 0.0000 0.4842 0.7500 [4 per cell]
Dy: 0.0000 0.5000 0.0000 [4 per cell]
Tm: 0.0000 0.1605 0.5421 [8 per cell]
Tm: 0.0000 0.4809 0.6215 [8 per cell]



Sorted by energy, starting with the most stable: B, A.